Entry 1:
# FePbBr2, PBEsol geometry, DFT SCAN
# SG	No. 160
# formation energy from raw total energies	-0.2010	eV/atom
# excess energy over the best structure of this formula in the dataset	30.7	meV/atom
data_FePbBr2
_chemical_formula_sum 'Fe1 Pb1 Br2'
_space_group_name_H-M_alt 'P 1'
_space_group_IT_number 1
_space_group_name_Hall 'P 1'
_cell_length_a 3.6713
_cell_length_b 3.6713
_cell_length_c 8.6363
_cell_angle_alpha 77.73
_cell_angle_beta 77.73
_cell_angle_gamma 60.00
loop_
_atom_site_label
_atom_site_fract_x
_atom_site_fract_y
_atom_site_fract_z
Fe1 0.4959 0.4959 0.5124
Br1 0.7787 0.7787 0.6638
Br2 0.9883 0.9883 0.0352
Pb1 0.2371 0.2371 0.2886

Entry 2:
# CaCuSi2, PBEsol geometry, DFT SCAN
# SG	No. 225
# formation energy from raw total energies	0.2780	eV/atom
data_CaCuSi2
_chemical_formula_sum 'Ca1 Cu1 Si2'
_space_group_name_H-M_alt 'P 1'
_space_group_IT_number 1
_space_group_name_Hall 'P 1'
_cell_length_a 4.5700
_cell_length_b 4.5700
_cell_length_c 4.5700
_cell_angle_alpha 60.00
_cell_angle_beta 60.00
_cell_angle_gamma 60.00
loop_
_atom_site_label
_atom_site_fract_x
_atom_site_fract_y
_atom_site_fract_z
Si1 0.2500 0.2500 0.2500
Ca1 0.0000 0.0000 0.0000
Cu1 0.5000 0.5000 0.5000
Si2 0.7500 0.7500 0.7500

Entry 3:
# CaY2In, PBEsol geometry, DFT SCAN
# SG	No. 99
# ΔE_f	-294.1	meV/atom
data_CaY2In
_chemical_formula_sum 'Ca1 Y2 In1'
_space_group_name_H-M_alt 'P 1'
_space_group_IT_number 1
_space_group_name_Hall 'P 1'
_cell_length_a 3.5419
_cell_length_b 3.5419
_cell_length_c 9.4766
_cell_angle_alpha 90.00
_cell_angle_beta 90.00
_cell_angle_gamma 90.00
loop_
_atom_site_label
_atom_site_fract_x
_atom_site_fract_y
_atom_site_fract_z
Ca1 0.0000 0.0000 0.5339
Y1 0.0000 0.0000 0.9741
Y2 0.5000 0.5000 0.2342
In1 0.5000 0.5000 0.7578